Ba3SrAs6 | PBE-GGA | optimized geometry

Properties
Calculated density in g/cm3: 5.109
Electronic total energy in eV/atom: -4.3319
Formation enthalpy at 0 K in eV per atom: -0.797

a b c (Å): 8.6958 8.6958 8.6958
angles (deg): 100.84 100.84 100.84
Last column: nearest neighbours and their distance in Å.
Sites, in units of the cell vectors:
Ba (0.1822, 0.7500, 0.3178)  8 As 3.27-3.61
Ba (0.2500, 0.6822, 0.8178)  8 As 3.27-3.61
Ba (0.3178, 0.1822, 0.7500)  8 As 3.27-3.61
Ba (0.6822, 0.8178, 0.2500)  8 As 3.27-3.61
Ba (0.7500, 0.3178, 0.1822)  8 As 3.27-3.61
Ba (0.8178, 0.2500, 0.6822)  8 As 3.27-3.61
Sr (0.0000, 0.0000, 0.0000)  6 As 3.39
Sr (0.5000, 0.5000, 0.5000)  6 As 3.39
As (0.0139, 0.0978, 0.3991)  2 As 2.54-2.68
As (0.0978, 0.3991, 0.0139)  2 As 2.54-2.68
As (0.1009, 0.4022, 0.4861)  2 As 2.54-2.68
As (0.3991, 0.0139, 0.0978)  2 As 2.54-2.68
As (0.4022, 0.4861, 0.1009)  2 As 2.54-2.68
As (0.4861, 0.1009, 0.4022)  2 As 2.54-2.68
As (0.5139, 0.8991, 0.5978)  2 As 2.54-2.68
As (0.5978, 0.5139, 0.8991)  2 As 2.54-2.68
As (0.6009, 0.9861, 0.9022)  2 As 2.54-2.68
As (0.8991, 0.5978, 0.5139)  2 As 2.54-2.68
As (0.9022, 0.6009, 0.9861)  2 As 2.54-2.68
As (0.9861, 0.9022, 0.6009)  2 As 2.54-2.68

Ba3Sr2As4 | PBE-GGA | optimized geometry

Properties
Calculated density in g/cm3: 4.671
Electronic total energy in eV/atom: -4.0880
Formation enthalpy at 0 K in eV per atom: -1.007

a b c (Å): 9.1543 9.1543 7.1724
angles (deg): 105.13 105.13 33.04
Last column: nearest neighbours and their distance in Å.
Sites, in units of the cell vectors:
Ba (0.0000, 0.0000, 0.0000)  6 As 3.48-3.70, 4 Sr 3.84
Ba (0.1378, 0.1378, 0.5643)  1 As 3.18
Ba (0.8622, 0.8622, 0.4357)  1 As 3.18
Sr (0.3365, 0.3365, 0.9761)  4 As 2.97-3.23
Sr (0.6635, 0.6635, 0.0239)  4 As 2.97-3.23
As (0.2169, 0.2169, 0.2147)  3 Sr 2.97-3.05, 1 Ba 3.18
As (0.4991, 0.4991, 0.3211)  1 As 2.56
As (0.5009, 0.5009, 0.6789)  1 As 2.56
As (0.7831, 0.7831, 0.7853)  3 Sr 2.97-3.05, 1 Ba 3.18

BaSr8As6 | PBE-GGA | optimized geometry

Properties
Calculated density in g/cm3: 4.064
Electronic total energy in eV/atom: -3.9896
Formation enthalpy at 0 K in eV per atom: -1.105

a b c (Å): 9.2288 9.2288 9.2288
angles (deg): 57.68 57.68 57.68
Last column: nearest neighbours and their distance in Å.
Sites, in units of the cell vectors:
Ba (0.0000, 0.0000, 0.0000)  6 As 3.49
Sr (0.1145, 0.4451, 0.7809)  4 As 3.06-3.28
Sr (0.2191, 0.8855, 0.5549)  4 As 3.06-3.28
Sr (0.3330, 0.3330, 0.3330)  6 As 3.43-3.45
Sr (0.4451, 0.7809, 0.1145)  4 As 3.06-3.28
Sr (0.5549, 0.2191, 0.8855)  4 As 3.06-3.28
Sr (0.6670, 0.6670, 0.6670)  6 As 3.43-3.45
Sr (0.7809, 0.1145, 0.4451)  4 As 3.06-3.28
Sr (0.8855, 0.5549, 0.2191)  4 As 3.06-3.28
As (0.0763, 0.7399, 0.4149)  4 Sr 3.06-3.28
As (0.2601, 0.5851, 0.9237)  4 Sr 3.06-3.28
As (0.4149, 0.0763, 0.7399)  4 Sr 3.06-3.28
As (0.5851, 0.9237, 0.2601)  4 Sr 3.06-3.28
As (0.7399, 0.4149, 0.0763)  4 Sr 3.06-3.28
As (0.9237, 0.2601, 0.5851)  4 Sr 3.06-3.28

Ba3SrAs | PBE-GGA | optimized geometry

Properties
Polymorph energy (0 for the lowest one) in meV/atom: 1210
Calculated density in g/cm3: 3.546
Electronic total energy in eV/atom: -1.6736
Formation enthalpy at 0 K in eV per atom: 0.746

a b c (Å): 6.4558 6.4558 6.4558
angles (deg): 90.00 90.00 90.00
Last column: nearest neighbours and their distance in Å.
Sites, in units of the cell vectors:
Ba (0.0000, 0.0000, 0.5000)  2 Sr 3.23
Ba (0.0000, 0.5000, 0.0000)  2 Sr 3.23
Ba (0.5000, 0.0000, 0.0000)  2 Sr 3.23
Sr (0.0000, 0.0000, 0.0000)  6 Ba 3.23
As (0.5000, 0.5000, 0.5000)  12 Ba 4.56

Ba5SrAs4 | PBE-GGA | optimized geometry

Properties
Calculated density in g/cm3: 4.213
Electronic total energy in eV/atom: -4.0114
Formation enthalpy at 0 K in eV per atom: -1.022

a b c (Å): 10.9744 10.9744 10.9744
angles (deg): 154.62 131.31 55.69
Last column: nearest neighbours and their distance in Å.
Sites, in units of the cell vectors:
Ba (0.0000, 0.0000, 0.0000)  4 As 3.33
Ba (0.1087, 0.3351, 0.7736)  4 As 3.21-3.45
Ba (0.4385, 0.6649, 0.7736)  4 As 3.21-3.45
Ba (0.5615, 0.3351, 0.2264)  4 As 3.21-3.45
Ba (0.8913, 0.6649, 0.2264)  4 As 3.21-3.45
Sr (0.5000, 0.0000, 0.5000)  4 As 3.28
As (0.2542, 0.5000, 0.7542)  4 Ba 3.21-3.33, 2 Sr 3.28
As (0.2885, 0.7885, 0.5000)  6 Ba 3.29-3.45
As (0.7115, 0.2115, 0.5000)  6 Ba 3.29-3.45
As (0.7458, 0.5000, 0.2458)  4 Ba 3.21-3.33, 2 Sr 3.28

BaSrAs | PBE-GGA | optimized geometry

Properties
Polymorph energy (0 for the lowest one) in meV/atom: 745
Calculated density in g/cm3: 4.191
Electronic total energy in eV/atom: -2.8773
Formation enthalpy at 0 K in eV per atom: -0.126

a b c (Å): 5.5183 5.5183 5.5183
angles (deg): 60.00 60.00 60.00
Last column: nearest neighbours and their distance in Å.
Sites, in units of the cell vectors:
Ba (0.0000, 0.0000, 0.0000)  4 As 3.38, 4 Sr 3.38
Sr (0.7500, 0.7500, 0.7500)  4 Ba 3.38
As (0.2500, 0.2500, 0.2500)  4 Ba 3.38

What did the fourth record say?
Ba3SrAs | PBE-GGA | optimized geometry

Properties
Polymorph energy (0 for the lowest one) in meV/atom: 1210
Calculated density in g/cm3: 3.546
Electronic total energy in eV/atom: -1.6736
Formation enthalpy at 0 K in eV per atom: 0.746

a b c (Å): 6.4558 6.4558 6.4558
angles (deg): 90.00 90.00 90.00
Last column: nearest neighbours and their distance in Å.
Sites, in units of the cell vectors:
Ba (0.0000, 0.0000, 0.5000)  2 Sr 3.23
Ba (0.0000, 0.5000, 0.0000)  2 Sr 3.23
Ba (0.5000, 0.0000, 0.0000)  2 Sr 3.23
Sr (0.0000, 0.0000, 0.0000)  6 Ba 3.23
As (0.5000, 0.5000, 0.5000)  12 Ba 4.56

Question: The highest formation enthalpy at 0 K belongs to which entry?
Answer: Ba3SrAs

Question: Which value of formation enthalpy at 0 K does entry 6 give?
Answer: -0.126 eV per atom